This record from Alexandria describes BaNaLaFeO6 after structural relaxation. The functional is GGA+U.

a = 8.4233 Å, b = 8.4233 Å, c = 8.4233 Å
α = 90.00°, β = 90.00°, γ = 90.00°
Closest atoms and distances in Å follow each position.
Space group F-43m (No. 216)
One atom of each set of equivalent atoms:
Ba (0.0000, 0.0000, 0.0000)  12 O 2.99
Na (0.0000, 0.0000, 0.5000)  12 O 2.99
La (0.2500, 0.2500, 0.2500)  6 O 2.33
Fe (0.2500, 0.2500, 0.7500)  6 O 1.88
O (0.0266, 0.2500, 0.7500)  1 Fe 1.88

Density of states at the Fermi level in states/eV per atom: 0.46
E_tot in eV per cell: -248.0